[1]
The following is a PBE-GGA calculation of an optimized crystal structure of AgTePt, from Alexandria.

abc: 3.9888 3.9888 4.8678
angles: 90.00 90.00 120.00
Positions (direct):
Te 0.3333 0.6667 0.6208
Ag 0.0000 0.0000 0.0280
Pt 0.6667 0.3333 0.3512

Values from the calculation:
formation energy (no corrections) = 16 kJ/mol of formula units
D(E_F) = 1.7 states/eV/cell
ΔE to the lowest computed polymorph = 0.140 eV per atom

=====

[2]
The following is a PBE-GGA calculation of an optimized crystal structure of BeAs2Ru, from Alexandria.

abc: 4.6612 4.6612 4.6612
angles: 137.40 121.27 75.22
Positions (direct):
Ru 0.2500 0.7500 0.5000
As 0.9668 0.9668 0.0000
As 0.5332 0.5332 0.0000
Be 0.7500 0.2500 0.5000

Values from the calculation:
energy of formation = 0.194 eV per atom
D(E_F) = 1.5 states/eV/cell

=====

[3]
The following is a PBE-GGA calculation of an optimized crystal structure of SrSiNi2, from Alexandria.

abc: 3.6532 3.0164 6.5387
angles: 77.55 90.00 90.00
Positions (direct):
Ni 0.0000 0.0476 0.0897
Ni 0.0000 0.4524 0.4103
Si 0.5000 0.2500 0.2500
Sr 0.5000 0.7500 0.7500

Values from the calculation:
formation energy (no corrections) = -21 kJ/mol of formula units
D(E_F) = 1.9 states/eV/cell

=====

[4]
The following is a PBE-GGA calculation of an optimized crystal structure of LaMnPd2, from Alexandria.

abc: 4.7832 4.7832 4.7832
angles: 60.00 60.00 60.00
Last column: magnetic moment on the atom in μB.
Positions (direct):
Mn 0.0000 0.0000 0.0000  0.41
Pd 0.2500 0.2500 0.2500  -0.03
Pd 0.7500 0.7500 0.7500  -0.03
La 0.5000 0.5000 0.5000  -0.04

Values from the calculation:
energy of formation = 0.115 eV per atom
D(E_F) = 7.4 states/eV/cell

=====

[5]
The following is a PBE-GGA calculation of an optimized crystal structure of Pm8Sb3Te4P, from Alexandria.

abc: 8.8600 8.9195 8.8602
angles: 119.78 120.00 90.00
Positions (direct):
Pm 0.2341 0.7283 0.9943
Pm 0.2341 0.7283 0.4681
Pm 0.2532 0.2597 0.5065
Pm 0.7602 0.7283 0.9943
Pm 0.2398 0.2717 0.0057
Pm 0.7468 0.7403 0.4935
Pm 0.7659 0.2717 0.5319
Pm 0.7659 0.2717 0.0057
Sb 0.5000 0.5000 0.0000
Sb 0.5000 0.5000 0.5000
Sb 0.0000 0.5000 0.5000
Te 0.5000 0.0000 0.0000
Te 0.5000 0.0000 0.5000
Te 0.0000 0.0000 0.0000
Te 0.0000 0.0000 0.5000
P 0.0000 0.5000 0.0000

Values from the calculation:
formation energy (no corrections) = -2141 kJ/mol of formula units
D(E_F) = 7.8 states/eV/cell

=====

[6]
The following is a PBE-GGA calculation of an optimized crystal structure of InPAu2, from Alexandria.

abc: 5.2918 5.2918 5.2918
angles: 133.94 133.94 67.19
Positions (direct):
Au 0.0000 0.0000 0.0000
Au 0.5000 0.5000 0.0000
In 0.2500 0.7500 0.5000
P 0.7500 0.2500 0.5000

Values from the calculation:
energy of formation = 0.192 eV per atom
D(E_F) = 1.1 states/eV/cell
ΔE to the lowest computed polymorph = 0.237 eV per atom

=====

[7]
The following is a PBE-GGA calculation of an optimized crystal structure of Rb2CdAu2, from Alexandria.

abc: 6.9407 6.7490 8.4978
angles: 99.68 90.00 120.94
Positions (direct):
Rb 0.5069 0.2924 0.1325
Rb 0.2146 0.7076 0.3675
Rb 0.4931 0.7076 0.8675
Rb 0.7854 0.2924 0.6325
Cd 0.9237 0.0000 0.2500
Cd 0.0763 0.0000 0.7500
Au 0.7042 0.7157 0.4898
Au 0.9885 0.2843 0.0102
Au 0.2958 0.2843 0.5102
Au 0.0115 0.7157 0.9898

Values from the calculation:
energy of formation = -0.251 eV per atom
D(E_F) = 3.3 states/eV/cell
ΔE to the lowest computed polymorph = 0.000 eV per atom

=====

[8]
The following is a PBE-GGA calculation of an optimized crystal structure of BaTi2Cl, from Alexandria.

abc: 7.2482 7.2482 7.1852
angles: 59.71 59.71 90.00
Last column: magnetic moment on the atom in μB.
Positions (direct):
Cl 0.5000 0.5000 0.0000  -0.02
Cl 0.2500 0.7500 0.5000  -0.02
Ba 0.0000 0.0000 0.0000  0.05
Ba 0.7500 0.2500 0.5000  0.05
Ti 0.4149 0.1250 0.2500  0.57
Ti 0.3351 0.6250 0.2500  0.59
Ti 0.3750 0.5851 0.7500  0.59
Ti 0.8750 0.6649 0.7500  0.61

Values from the calculation:
formation energy (no corrections) = 167 kJ/mol of formula units
D(E_F) = 21.4 states/eV/cell
ΔE to the lowest computed polymorph = 0.000 eV per atom

=====

[9]
The following is a PBE-GGA calculation of an optimized crystal structure of Ac6Te3As2Se, from Alexandria.

abc: 7.9407 7.9407 8.1575
angles: 99.33 99.33 119.99
Positions (direct):
Ac 0.9254 0.5874 0.7763
Ac 0.7362 0.7362 0.2231
Ac 0.0746 0.4126 0.2237
Ac 0.5874 0.9254 0.7763
Ac 0.2638 0.2638 0.7769
Ac 0.4126 0.0746 0.2237
Te 0.1656 0.8344 0.5000
Te 0.8344 0.1656 0.5000
Te 0.5000 0.5000 0.5000
As 0.3333 0.6667 0.0000
As 0.6667 0.3333 0.0000
Se 0.0000 0.0000 0.0000

Values from the calculation:
formation energy (no corrections) = -1861 kJ/mol of formula units
D(E_F) = 5.7 states/eV/cell

=====

[10]
The following is a PBE-GGA calculation of an optimized crystal structure of Cs6HgH, from Alexandria.

abc: 8.8663 9.1401 8.8379
angles: 58.86 81.80 73.99
Positions (direct):
Cs 0.7425 0.4565 0.6887
Cs 0.7425 0.1452 0.3113
Cs 0.2575 0.8548 0.6887
Cs 0.2575 0.5435 0.3113
Cs 0.7025 0.7516 0.0000
Cs 0.2975 0.2484 0.0000
Hg 0.0000 0.0000 0.0000
H 0.5000 0.5000 0.0000

Values from the calculation:
D(E_F) = 6.1 states/eV/cell
total energy = -1.1598 eV per atom

=====

[11]
The following is a PBE-GGA calculation of an optimized crystal structure of MnGaReSn2, from Alexandria.

abc: 4.9123 4.5013 4.9123
angles: 90.00 90.00 90.00
Last column: magnetic moment on the atom in μB.
Positions (direct):
Re 0.0000 0.5000 0.0000  0.68
Mn 0.0000 0.0000 0.0000  -0.23
Sn 0.0000 0.0000 0.5000  -0.02
Sn 0.5000 0.0000 0.0000  0.00
Ga 0.5000 0.5000 0.5000  -0.02

Values from the calculation:
energy of formation = 0.850 eV per atom
D(E_F) = 4.2 states/eV/cell

=====

[12]
The following is a PBE-GGA calculation of an optimized crystal structure of HfNpCo10, from Alexandria.

abc: 3.9766 4.7795 8.2638
angles: 90.00 90.00 90.00
Last column: magnetic moment on the atom in μB.
Positions (direct):
Hf 0.0000 0.5000 0.5000  0.39
Np 0.0000 0.0000 0.0000  3.57
Co 0.0000 0.0000 0.3305  -1.31
Co 0.0000 0.5000 0.8369  -1.31
Co 0.0000 0.5000 0.1631  -1.31
Co 0.0000 0.0000 0.6695  -1.31
Co 0.5000 0.0000 0.5000  -1.49
Co 0.5000 0.5000 0.0000  -1.45
Co 0.5000 0.2561 0.2565  -1.47
Co 0.5000 0.7439 0.7435  -1.47
Co 0.5000 0.7439 0.2565  -1.47
Co 0.5000 0.2561 0.7435  -1.47

Values from the calculation:
energy of formation = -0.074 eV per atom
D(E_F) = 18.4 states/eV/cell